Compound: Th2BI2
Source: the Alexandria database
Functional: PBE-GGA
Structure: optimized geometry

The uncorrected formation energy is -819 meV per atom.

a b c (Å): 4.078 4.078 12.416
angles (deg): 100.52 100.52 60.00
Positions (direct):
1 Th 0.211 0.211 0.119
2 Th 0.789 0.789 0.881
3 B 0.500 0.500 0.000
4 I 0.053 0.053 0.693
5 I 0.947 0.947 0.307


Compound: ThBI
Source: the Alexandria database
Functional: PBE-GGA
Structure: optimized geometry

The uncorrected formation energy is -604 meV per atom. The calculation puts the offset from the most stable computed form at 92.9 meV per atom.

a b c (Å): 3.816 3.454 12.655
angles (deg): 90.00 98.37 90.00
Positions (direct):
1 Th 0.064 0.250 0.133
2 Th 0.936 0.750 0.867
3 B 0.486 0.250 0.972
4 B 0.514 0.750 0.028
5 I 0.338 0.750 0.664
6 I 0.662 0.250 0.336


Compound: ThBI
Source: the Alexandria database
Functional: PBE-GGA
Structure: optimized geometry

The uncorrected formation energy is -661 meV per atom. The calculation puts the offset from the most stable computed form at 36.1 meV per atom.

a b c (Å): 3.699 3.699 13.027
angles (deg): 98.30 98.30 59.94
Positions (direct):
1 Th 0.050 0.050 0.146
2 Th 0.950 0.950 0.854
3 B 0.333 0.333 0.000
4 B 0.667 0.667 0.000
5 I 0.220 0.220 0.665
6 I 0.780 0.780 0.335


Compound: Th3BI3
Source: the Alexandria database
Functional: PBE-GGA
Structure: optimized geometry

The uncorrected formation energy is -779 meV per atom.

a b c (Å): 9.266 3.998 12.221
angles (deg): 90.00 91.84 90.00
Positions (direct):
1 Th 0.084 0.250 0.394
2 Th 0.115 0.250 0.830
3 Th 0.300 0.750 0.619
4 Th 0.700 0.250 0.381
5 Th 0.885 0.750 0.170
6 Th 0.916 0.750 0.606
7 B 0.115 0.250 0.613
8 B 0.885 0.750 0.387
9 I 0.150 0.250 0.118
10 I 0.380 0.750 0.877
11 I 0.389 0.750 0.361
12 I 0.611 0.250 0.639
13 I 0.620 0.250 0.123
14 I 0.850 0.750 0.882


Compound: ThBI
Source: the Alexandria database
Functional: PBE-GGA
Structure: optimized geometry

The uncorrected formation energy is -697 meV per atom. The calculation puts the offset from the most stable computed form at 0.0 meV per atom.

a b c (Å): 3.466 3.788 12.196
angles (deg): 95.36 90.30 90.00
Positions (direct):
1 Th 0.247 0.459 0.362
2 Th 0.753 0.541 0.638
3 B 0.250 0.007 0.523
4 B 0.750 0.993 0.477
5 I 0.256 0.096 0.820
6 I 0.744 0.904 0.180


Compound: Th7BI12
Source: the Alexandria database
Functional: PBE-GGA
Structure: optimized geometry

The uncorrected formation energy is -965 meV per atom.

a b c (Å): 9.954 9.954 9.954
angles (deg): 109.43 109.43 109.43
Positions (direct):
1 Th 0.000 0.000 0.000
2 Th 0.197 0.382 0.447
3 Th 0.382 0.447 0.197
4 Th 0.447 0.197 0.382
5 Th 0.553 0.803 0.618
6 Th 0.618 0.553 0.803
7 Th 0.803 0.618 0.553
8 B 0.500 0.500 0.500
9 I 0.010 0.349 0.099
10 I 0.099 0.010 0.349
11 I 0.193 0.722 0.575
12 I 0.278 0.425 0.807
13 I 0.349 0.099 0.010
14 I 0.425 0.807 0.278
15 I 0.575 0.193 0.722
16 I 0.651 0.901 0.990
17 I 0.722 0.575 0.193
18 I 0.807 0.278 0.425
19 I 0.901 0.990 0.651
20 I 0.990 0.651 0.901


Compound: TiBI2
Source: the Alexandria database
Functional: PBE-GGA
Structure: optimized geometry

The uncorrected formation energy is 1010 meV per atom. The calculation puts the offset from the most stable computed form at 0.0 meV per atom.

a b c (Å): 4.936 4.936 4.936
angles (deg): 60.00 60.00 60.00
Positions (direct):
1 Ti 0.000 0.000 0.000
2 B 0.500 0.500 0.500
3 I 0.250 0.250 0.250
4 I 0.750 0.750 0.750


Compound: Ti2BI
Source: the Alexandria database
Functional: PBE-GGA
Structure: optimized geometry

The uncorrected formation energy is 208 meV per atom. The calculation puts the offset from the most stable computed form at 0.0 meV per atom.

a b c (Å): 6.708 6.708 6.708
angles (deg): 130.90 130.90 71.96
Positions (direct):
1 Ti 0.022 0.625 0.897
2 Ti 0.375 0.272 0.397
3 Ti 0.728 0.125 0.103
4 Ti 0.875 0.978 0.603
5 B 0.000 0.000 0.000
6 B 0.750 0.250 0.500
7 I 0.250 0.750 0.500
8 I 0.500 0.500 0.000


Compound: Ti3BI
Source: the Alexandria database
Functional: PBE-GGA
Structure: optimized geometry

The uncorrected formation energy is 1865 meV per atom.

a b c (Å): 4.946 4.946 4.946
angles (deg): 90.00 90.00 90.00
Positions (direct):
1 Ti 0.000 0.000 0.500
2 Ti 0.000 0.500 0.000
3 Ti 0.500 0.000 0.000
4 B 0.500 0.500 0.500
5 I 0.000 0.000 0.000


Compound: Ti4BI5
Source: the Alexandria database
Functional: PBE-GGA
Structure: optimized geometry

The uncorrected formation energy is -646 meV per atom.

a b c (Å): 9.859 9.859 7.921
angles (deg): 101.49 101.49 21.64
Positions (direct):
1 Ti 0.000 0.000 0.171
2 Ti 0.000 0.000 0.829
3 Ti 0.390 0.390 0.946
4 Ti 0.610 0.610 0.054
5 B 0.500 0.500 0.000
6 I 0.149 0.149 0.320
7 I 0.149 0.149 0.829
8 I 0.500 0.500 0.500
9 I 0.851 0.851 0.171
10 I 0.851 0.851 0.680


Compound: Ti7BI12
Source: the Alexandria database
Functional: PBE-GGA
Structure: optimized geometry

The uncorrected formation energy is -717 meV per atom.

a b c (Å): 9.484 9.484 9.484
angles (deg): 108.68 108.68 108.68
Positions (direct):
1 Ti 0.000 0.000 0.000
2 Ti 0.251 0.418 0.471
3 Ti 0.418 0.471 0.251
4 Ti 0.471 0.251 0.418
5 Ti 0.529 0.749 0.582
6 Ti 0.582 0.529 0.749
7 Ti 0.749 0.582 0.529
8 B 0.500 0.500 0.500
9 I 0.063 0.346 0.131
10 I 0.131 0.063 0.346
11 I 0.218 0.712 0.569
12 I 0.288 0.431 0.782
13 I 0.346 0.131 0.063
14 I 0.431 0.782 0.288
15 I 0.569 0.218 0.712
16 I 0.654 0.869 0.937
17 I 0.712 0.569 0.218
18 I 0.782 0.288 0.431
19 I 0.869 0.937 0.654
20 I 0.937 0.654 0.869


Compound: TiB2I
Source: the Alexandria database
Functional: PBE-GGA
Structure: optimized geometry

The uncorrected formation energy is 1245 meV per atom. The calculation puts the offset from the most stable computed form at 0.0 meV per atom.

a b c (Å): 6.214 6.214 6.214
angles (deg): 127.65 127.65 77.20
Positions (direct):
1 Ti 0.000 0.000 0.000
2 Ti 0.750 0.250 0.500
3 B 0.107 0.625 0.982
4 B 0.375 0.357 0.482
5 B 0.643 0.125 0.018
6 B 0.875 0.893 0.518
7 I 0.250 0.750 0.500
8 I 0.500 0.500 0.000